1.
A relaxed structure of NdY2Er9. Source: the Alexandria database, functional PBE.

Values from the calculation:
The energy above the lowest structure with this stoichiometry comes out at 0.279 eV/f.u. The space-group type is P6/mmm. As for the density: 8.0 Mg/m³. The calculation puts the total energy at -58.2 eV per formula unit.

Unit cell a=11.176 b=11.176 c=3.493 alpha=90.00 beta=90.00 gamma=120.00
Element x y z (fractional)
1 Nd 0.000 0.000 0.000
2 Y 0.333 0.667 0.000
3 Y 0.667 0.333 0.000
4 Er 0.000 0.500 0.000
5 Er 0.178 0.355 0.500
6 Er 0.178 0.822 0.500
7 Er 0.355 0.178 0.500
8 Er 0.500 0.000 0.000
9 Er 0.500 0.500 0.000
10 Er 0.645 0.822 0.500
11 Er 0.822 0.178 0.500
12 Er 0.822 0.645 0.500



2.
A relaxed structure of BeRe2Au. Source: the Alexandria database, functional PBE.

Values from the calculation:
The space-group type is Cmm2. As for the density: 16.5 Mg/m³. The calculation puts the total energy at -30.8 eV per formula unit.

Unit cell a=2.720 b=2.720 c=8.651 alpha=90.00 beta=90.00 gamma=114.63
Element x y z (fractional)
1 Be 0.000 0.000 0.000
2 Re 0.000 0.000 0.524
3 Re 0.500 0.500 0.777
4 Au 0.500 0.500 0.224